First-principles (GGA-PBE) data for crystalline Mn5Os3 at its relaxed geometry, as listed in the Alexandria database.

Structure (POSCAR):
```
Mn5Os3
1.0
-0.795 -1.777 4.820
0.543 -4.906 -1.632
3.670 0.182 0.672
Mn Os
5 3
direct
0.000 0.500 0.000 Mn
0.000 0.000 0.000 Mn
0.751 0.249 0.500 Mn
0.500 0.000 0.000 Mn
0.249 0.751 0.500 Mn
0.500 0.500 0.000 Os
0.244 0.244 0.500 Os
0.756 0.756 0.500 Os
```

Results
Size of the total moment: 2.77 μB/f.u.
Calculated density: 13.91 Mg/m³
Polymorph energy (0 for the lowest one): 0 meV per atom
Energy of formation: 35 meV per atom
V: 12.618 Å³ per atom

First-principles (GGA-PBE) data for crystalline MnOs at its relaxed geometry, as listed in the Alexandria database.

Structure (POSCAR):
```
MnOs
1.0
-1.719 5.957 -3.793
-4.087 2.344 5.534
5.759 3.442 2.795
Mn Os
8 8
direct
0.185 0.185 0.185 Mn
0.185 0.815 0.815 Mn
0.685 0.685 0.685 Mn
0.315 0.685 0.315 Mn
0.815 0.815 0.185 Mn
0.315 0.315 0.685 Mn
0.815 0.185 0.815 Mn
0.685 0.315 0.315 Mn
0.138 0.138 0.862 Os
0.862 0.138 0.138 Os
0.138 0.862 0.138 Os
0.862 0.862 0.862 Os
0.638 0.362 0.638 Os
0.362 0.362 0.362 Os
0.638 0.638 0.362 Os
0.362 0.638 0.638 Os
```

Results
Size of the total moment: 1.47 μB/f.u.
Calculated density: 8.48 Mg/m³
Energy of formation: 1661 meV per atom
V: 23.998 Å³ per atom

First-principles (GGA-PBE) data for crystalline Mn3Os at its relaxed geometry, as listed in the Alexandria database.

Structure (POSCAR):
```
Mn3Os
1.0
-0.091 1.458 3.832
-4.854 -1.595 0.492
3.869 -3.121 1.279
Mn Os
6 2
direct
0.750 0.325 0.163 Mn
0.750 0.837 0.163 Mn
0.250 0.675 0.837 Mn
0.250 0.163 0.325 Mn
0.250 0.163 0.837 Mn
0.750 0.837 0.675 Mn
0.750 0.333 0.667 Os
0.250 0.667 0.333 Os
```

Results
Size of the total moment: 0.00 μB/f.u.
Calculated density: 12.60 Mg/m³
Energy of formation: 5 meV per atom
V: 11.696 Å³ per atom

First-principles (GGA-PBE) data for crystalline Mn3Os at its relaxed geometry, as listed in the Alexandria database.

Structure (POSCAR):
```
Mn3Os
1.0
4.464 0.030 0.000
-1.441 4.225 0.000
0.000 0.000 2.629
Mn Os
3 1
direct
0.500 0.000 0.500 Mn
0.000 0.000 0.000 Mn
0.000 0.500 0.500 Mn
0.500 0.500 0.000 Os
```

Results
Size of the total moment: 0.91 μB/f.u.
Calculated density: 11.86 Mg/m³
Energy of formation: 14 meV per atom
V: 12.427 Å³ per atom

First-principles (GGA-PBE) data for crystalline MnOs at its relaxed geometry, as listed in the Alexandria database.

Structure (POSCAR):
```
MnOs
1.0
3.477 0.000 0.000
1.739 3.011 0.000
1.739 1.004 2.839
Mn Os
1 1
direct
0.000 0.000 0.000 Mn
0.500 0.500 0.500 Os
```

Results
Size of the total moment: 1.53 μB/f.u.
Calculated density: 13.70 Mg/m³
Energy of formation: 1162 meV per atom
V: 14.862 Å³ per atom

First-principles (GGA-PBE) data for crystalline MnOs at its relaxed geometry, as listed in the Alexandria database.

Structure (POSCAR):
```
MnOs
1.0
2.144 -3.713 0.000
2.144 3.713 0.000
0.000 0.000 7.312
Os Mn
4 4
direct
0.000 0.000 0.250 Os
0.667 0.333 0.250 Os
0.000 0.000 0.750 Os
0.333 0.667 0.750 Os
0.333 0.667 0.082 Mn
0.667 0.333 0.582 Mn
0.333 0.667 0.418 Mn
0.667 0.333 0.918 Mn
```

Results
Size of the total moment: 2.02 μB/f.u.
Calculated density: 13.99 Mg/m³
Energy of formation: 519 meV per atom
V: 14.554 Å³ per atom

First-principles (GGA-PBE) data for crystalline Mn3Os at its relaxed geometry, as listed in the Alexandria database.

Structure (POSCAR):
```
Mn3Os
1.0
2.569 0.000 0.000
0.856 4.730 0.000
0.856 -2.365 4.096
Os Mn
1 3
direct
0.500 0.500 0.000 Os
0.000 0.000 0.000 Mn
0.500 0.000 0.500 Mn
0.000 0.500 0.500 Mn
```

Results
Size of the total moment: 5.15 μB/f.u.
Calculated density: 11.84 Mg/m³
Energy of formation: 224 meV per atom
V: 12.443 Å³ per atom

First-principles (GGA-PBE) data for crystalline MnOs5 at its relaxed geometry, as listed in the Alexandria database.

Structure (POSCAR):
```
MnOs5
1.0
2.730 0.000 0.000
-1.365 4.902 0.001
0.000 1.501 6.191
Os Mn
5 1
direct
0.721 0.442 0.054 Os
0.390 0.781 0.728 Os
0.665 0.330 0.671 Os
0.056 0.111 0.385 Os
0.335 0.671 0.329 Os
0.999 0.999 0.000 Mn
```

Results
Size of the total moment: 0.00 μB/f.u.
Calculated density: 20.16 Mg/m³
Energy of formation: -1 meV per atom
V: 13.810 Å³ per atom

Q: Which of these has the highest size of the total moment?
A: number 7